This record from Alexandria via LeMat-Bulk describes a relaxed structure of Cs2BaNaF. The functional is GGA-PBE.

Structure (POSCAR):
```
Cs2BaNaF
1.0
-0.577 5.119 5.442
-7.347 0.600 -1.343
-0.930 -3.738 3.418
Cs Na Ba F
2 1 1 1
Cartesian
-3.674 0.300 -0.672
-0.288 2.560 2.721
-4.427 0.991 3.758
-0.465 -1.869 1.709
0.000 0.000 0.000
```

Properties
- total moment (μB per formula unit) = 0.00
- crystal system = tetragonal
- ρ (g/cm3) = 2.56
- DFT total energy (hartree per atom) = -0.087